Entry one
First-principles (PBE) data for Tb2PrGa2 after structural relaxation, as listed in the Alexandria database.

```
data_Tb2PrGa2
_cell_length_a 7.7560
_cell_length_b 7.7560
_cell_length_c 4.4002
_cell_angle_alpha 90.00
_cell_angle_beta 90.00
_cell_angle_gamma 90.00
_space_group_name_H-M_alt 'P 4/m b m'
_space_group_IT_number 127
_space_group_name_Hall '-P 4 2ab'
loop_
_atom_site_label
_atom_site_type_symbol
_atom_site_fract_x
_atom_site_fract_y
_atom_site_fract_z
Tb1 Tb 0.1738 0.3262 0.0000
Pr1 Pr 0.0000 0.0000 0.5000
Ga1 Ga 0.1175 0.6175 0.5000
```

The magnetic moment comes out at 0.00 μB/f.u. Its density is 7.51 g cm⁻³.

=====

Entry two
First-principles (PBE) data for Tb2PrGa2 after structural relaxation, as listed in the Alexandria database.

```
data_Tb2PrGa2
_cell_length_a 12.6437
_cell_length_b 3.8131
_cell_length_c 5.8819
_cell_angle_alpha 90.00
_cell_angle_beta 102.89
_cell_angle_gamma 90.00
_space_group_name_H-M_alt 'C 1 2/m 1'
_space_group_IT_number 12
loop_
_space_group_symop_operation_xyz
'x,y,z'
'-x,-y,-z'
'-x,y,-z'
'x,-y,z'
'x+1/2,y+1/2,z'
'-x+1/2,-y+1/2,-z'
'-x+1/2,y+1/2,-z'
'x+1/2,-y+1/2,z'
loop_
_atom_site_label
_atom_site_type_symbol
_atom_site_fract_x
_atom_site_fract_y
_atom_site_fract_z
Tb1 Tb 0.1384 0.0000 0.0682
Pr1 Pr 0.0000 0.5000 0.5000
Ga1 Ga 0.2080 0.0000 0.6120
```

The magnetic moment comes out at 0.00 μB/f.u. Its density is 7.19 g cm⁻³.

=====

Ordering by calculated energy gives the sequence entry one, entry two, with the first entry being the most stable.

=====

Entry one
First-principles (PBE) data for TbPrGa4 after structural relaxation, as listed in the Alexandria database.

```
data_TbPrGa4
_cell_length_a 7.9188
_cell_length_b 7.9188
_cell_length_c 7.9188
_cell_angle_alpha 90.00
_cell_angle_beta 90.00
_cell_angle_gamma 90.00
_space_group_name_H-M_alt 'F -4 3 m'
_space_group_IT_number 216
_space_group_name_Hall 'F -4 2 3'
loop_
_atom_site_label
_atom_site_type_symbol
_atom_site_fract_x
_atom_site_fract_y
_atom_site_fract_z
Tb1 Tb 0.0000 0.0000 0.0000
Pr1 Pr 0.2500 0.2500 0.2500
Ga1 Ga 0.1251 0.1251 0.6251
```

The magnetic moment comes out at 0.00 μB/f.u. Its density is 7.74 g cm⁻³.

=====

Entry two
First-principles (PBE) data for TbPrGa4 after structural relaxation, as listed in the Alexandria database.

```
data_TbPrGa4
_cell_length_a 4.2421
_cell_length_b 4.2421
_cell_length_c 14.8327
_cell_angle_alpha 90.00
_cell_angle_beta 90.00
_cell_angle_gamma 90.00
_space_group_name_H-M_alt 'I -4 m 2'
_space_group_IT_number 119
_space_group_name_Hall 'I -4 -2'
loop_
_atom_site_label
_atom_site_type_symbol
_atom_site_fract_x
_atom_site_fract_y
_atom_site_fract_z
Tb1 Tb 0.0000 0.0000 0.0000
Pr1 Pr 0.0000 0.5000 0.7500
Ga1 Ga 0.0000 0.0000 0.4180
Ga2 Ga 0.0000 0.5000 0.1659
```

The magnetic moment comes out at 0.00 μB/f.u. Its density is 7.20 g cm⁻³.

=====

Ordering by calculated energy gives the sequence entry two, entry one, with the first entry being the most stable.

=====

Entry one
First-principles (PBE) data for TbPr2Ga after structural relaxation, as listed in the Alexandria database.

```
data_TbPr2Ga
_cell_length_a 4.8392
_cell_length_b 4.8392
_cell_length_c 4.8761
_cell_angle_alpha 90.00
_cell_angle_beta 90.00
_cell_angle_gamma 90.00
_space_group_name_H-M_alt 'P 4/m m m'
_space_group_IT_number 123
_space_group_name_Hall '-P 4 2'
loop_
_atom_site_label
_atom_site_type_symbol
_atom_site_fract_x
_atom_site_fract_y
_atom_site_fract_z
Tb1 Tb 0.0000 0.0000 0.0000
Pr1 Pr 0.0000 0.5000 0.5000
Ga1 Ga 0.5000 0.5000 0.0000
```

The magnetic moment comes out at 0.00 μB/f.u. Its density is 7.42 g cm⁻³.

=====

Entry two
First-principles (PBE) data for TbPr2Ga after structural relaxation, as listed in the Alexandria database.

```
data_TbPr2Ga
_cell_length_a 7.7411
_cell_length_b 7.7411
_cell_length_c 7.7411
_cell_angle_alpha 90.00
_cell_angle_beta 90.00
_cell_angle_gamma 90.00
_space_group_name_H-M_alt 'F m -3 m'
_space_group_IT_number 225
_space_group_name_Hall '-F 4 2 3'
loop_
_atom_site_label
_atom_site_type_symbol
_atom_site_fract_x
_atom_site_fract_y
_atom_site_fract_z
Tb1 Tb 0.0000 0.0000 0.0000
Pr1 Pr 0.2500 0.2500 0.2500
Ga1 Ga 0.0000 0.0000 0.5000
```

The magnetic moment comes out at 0.01 μB/f.u. Its density is 7.31 g cm⁻³.

=====

Entry three
First-principles (PBE) data for TbPr2Ga after structural relaxation, as listed in the Alexandria database.

```
data_TbPr2Ga
_cell_length_a 3.7392
_cell_length_b 3.7392
_cell_length_c 31.5328
_cell_angle_alpha 90.00
_cell_angle_beta 90.00
_cell_angle_gamma 120.00
_space_group_name_H-M_alt 'R 3 m'
_space_group_IT_number 160
_space_group_name_Hall 'R 3 -2"'
loop_
_atom_site_label
_atom_site_type_symbol
_atom_site_fract_x
_atom_site_fract_y
_atom_site_fract_z
Tb1 Tb 0.0000 0.0000 0.0000
Pr1 Pr 0.0000 0.0000 0.2386
Pr2 Pr 0.0000 0.0000 0.4286
Ga1 Ga 0.0000 0.0000 0.8339
```

The magnetic moment comes out at 0.47 μB/f.u. Its density is 6.66 g cm⁻³.

=====

Ordering by calculated energy gives the sequence entry one, entry three, entry two, with the first entry being the most stable.

=====

Entry one
First-principles (PBE) data for TbPrGa after structural relaxation, as listed in the Alexandria database.

```
data_TbPrGa
_cell_length_a 5.0097
_cell_length_b 5.0097
_cell_length_c 3.8580
_cell_angle_alpha 90.00
_cell_angle_beta 90.00
_cell_angle_gamma 120.00
_space_group_name_H-M_alt 'P 3 m 1'
_space_group_IT_number 156
loop_
_space_group_symop_operation_xyz
'x,y,z'
'-y,x-y,z'
'-x+y,-x,z'
'-y,-x,z'
'-x+y,y,z'
'x,x-y,z'
loop_
_atom_site_label
_atom_site_type_symbol
_atom_site_fract_x
_atom_site_fract_y
_atom_site_fract_z
Tb1 Tb 0.0000 0.0000 0.0000
Pr1 Pr 0.6667 0.3333 0.5507
Ga1 Ga 0.3333 0.6667 0.2021
```

The magnetic moment comes out at 0.00 μB/f.u. Its density is 7.32 g cm⁻³.

=====

Entry two
First-principles (PBE) data for TbPrGa after structural relaxation, as listed in the Alexandria database.

```
data_TbPrGa
_cell_length_a 7.1599
_cell_length_b 7.1599
_cell_length_c 7.1599
_cell_angle_alpha 90.00
_cell_angle_beta 90.00
_cell_angle_gamma 90.00
_space_group_name_H-M_alt 'F -4 3 m'
_space_group_IT_number 216
_space_group_name_Hall 'F -4 2 3'
loop_
_atom_site_label
_atom_site_type_symbol
_atom_site_fract_x
_atom_site_fract_y
_atom_site_fract_z
Tb1 Tb 0.0000 0.0000 0.0000
Pr1 Pr 0.0000 0.0000 0.5000
Ga1 Ga 0.2500 0.2500 0.7500
```

The magnetic moment comes out at 0.00 μB/f.u. Its density is 6.69 g cm⁻³.

=====

Entry three
First-principles (PBE) data for TbPrGa after structural relaxation, as listed in the Alexandria database.

```
data_TbPrGa
_cell_length_a 8.0334
_cell_length_b 8.0334
_cell_length_c 4.5173
_cell_angle_alpha 90.00
_cell_angle_beta 90.00
_cell_angle_gamma 120.00
_space_group_name_H-M_alt 'P -6 2 m'
_space_group_IT_number 189
_space_group_name_Hall 'P -6 -2'
loop_
_atom_site_label
_atom_site_type_symbol
_atom_site_fract_x
_atom_site_fract_y
_atom_site_fract_z
Tb1 Tb 0.0000 0.2667 0.0000
Pr1 Pr 0.0000 0.5998 0.5000
Ga1 Ga 0.0000 0.0000 0.5000
Ga2 Ga 0.3333 0.6667 0.0000
```

The magnetic moment comes out at 0.11 μB/f.u. Its density is 7.29 g cm⁻³.

=====

Ordering by calculated energy gives the sequence entry three, entry one, entry two, with the first entry being the most stable.

=====

Entry one
First-principles (PBE) data for Tb3PrGa2 after structural relaxation, as listed in the Alexandria database.

```
data_Tb3PrGa2
_cell_length_a 16.2644
_cell_length_b 5.1436
_cell_length_c 8.8649
_cell_angle_alpha 90.00
_cell_angle_beta 116.74
_cell_angle_gamma 90.00
_space_group_name_H-M_alt 'C 1 2/m 1'
_space_group_IT_number 12
loop_
_space_group_symop_operation_xyz
'x,y,z'
'-x,-y,-z'
'-x,y,-z'
'x,-y,z'
'x+1/2,y+1/2,z'
'-x+1/2,-y+1/2,-z'
'-x+1/2,y+1/2,-z'
'x+1/2,-y+1/2,z'
loop_
_atom_site_label
_atom_site_type_symbol
_atom_site_fract_x
_atom_site_fract_y
_atom_site_fract_z
Tb1 Tb 0.0634 0.0000 0.2168
Tb2 Tb 0.1232 0.5000 0.0088
Tb3 Tb 0.1885 0.5000 0.4929
Pr1 Pr 0.1286 0.0000 0.6892
Ga1 Ga 0.0098 0.5000 0.6489
Ga2 Ga 0.2252 0.0000 0.1156
```

The magnetic moment comes out at 0.00 μB/f.u. Its density is 7.59 g cm⁻³.

=====

Entry two
First-principles (PBE) data for Tb3PrGa2 after structural relaxation, as listed in the Alexandria database.

```
data_Tb3PrGa2
_cell_length_a 5.0185
_cell_length_b 9.6328
_cell_length_c 6.6481
_cell_angle_alpha 90.00
_cell_angle_beta 90.00
_cell_angle_gamma 90.00
_space_group_name_H-M_alt 'P m c 21'
_space_group_IT_number 26
loop_
_space_group_symop_operation_xyz
'x,y,z'
'-x,-y,z+1/2'
'-x,y,z'
'x,-y,z+1/2'
loop_
_atom_site_label
_atom_site_type_symbol
_atom_site_fract_x
_atom_site_fract_y
_atom_site_fract_z
Tb1 Tb 0.0000 0.0541 0.0000
Tb2 Tb 0.0000 0.3161 0.3619
Tb3 Tb 0.5000 0.1728 0.7047
Pr1 Pr 0.5000 0.4499 0.0717
Ga1 Ga 0.0000 0.3552 0.8200
Ga2 Ga 0.5000 0.1388 0.2438
```

The magnetic moment comes out at 0.00 μB/f.u. Its density is 7.82 g cm⁻³.

=====

Ordering by calculated energy gives the sequence entry two, entry one, with the first entry being the most stable.

=====

Entry one
First-principles (PBE) data for TbPrTlGa after structural relaxation, as listed in the Alexandria database.

```
data_TbPrTlGa
_cell_length_a 3.7152
_cell_length_b 3.7152
_cell_length_c 7.7283
_cell_angle_alpha 90.00
_cell_angle_beta 90.00
_cell_angle_gamma 90.00
_space_group_name_H-M_alt 'P 4 m m'
_space_group_IT_number 99
loop_
_space_group_symop_operation_xyz
'x,y,z'
'-y,x,z'
'-x,-y,z'
'y,-x,z'
'-x,y,z'
'y,x,z'
'x,-y,z'
'-y,-x,z'
loop_
_atom_site_label
_atom_site_type_symbol
_atom_site_fract_x
_atom_site_fract_y
_atom_site_fract_z
Tb1 Tb 0.0000 0.0000 0.0000
Pr1 Pr 0.0000 0.0000 0.5333
Tl1 Tl 0.5000 0.5000 0.2536
Ga1 Ga 0.5000 0.5000 0.7795
```

The magnetic moment comes out at 0.00 μB/f.u. Its density is 8.93 g cm⁻³.

=====

Entry two
First-principles (PBE) data for TbPrTlGa after structural relaxation, as listed in the Alexandria database.

```
data_TbPrTlGa
_cell_length_a 7.5512
_cell_length_b 7.5512
_cell_length_c 7.5512
_cell_angle_alpha 90.00
_cell_angle_beta 90.00
_cell_angle_gamma 90.00
_space_group_name_H-M_alt 'F -4 3 m'
_space_group_IT_number 216
_space_group_name_Hall 'F -4 2 3'
loop_
_atom_site_label
_atom_site_type_symbol
_atom_site_fract_x
_atom_site_fract_y
_atom_site_fract_z
Tb1 Tb 0.0000 0.0000 0.0000
Pr1 Pr 0.0000 0.0000 0.5000
Tl1 Tl 0.2500 0.2500 0.2500
Ga1 Ga 0.2500 0.2500 0.7500
```

The magnetic moment comes out at 0.00 μB/f.u. Its density is 8.85 g cm⁻³.

=====

Ordering by calculated energy gives the sequence entry one, entry two, with the first entry being the most stable.

=====

Entry one
First-principles (PBE) data for PrThGaTc after structural relaxation, as listed in the Alexandria database.

```
data_PrThGaTc
_cell_length_a 7.2789
_cell_length_b 7.2789
_cell_length_c 7.2789
_cell_angle_alpha 90.00
_cell_angle_beta 90.00
_cell_angle_gamma 90.00
_space_group_name_H-M_alt 'F -4 3 m'
_space_group_IT_number 216
_space_group_name_Hall 'F -4 2 3'
loop_
_atom_site_label
_atom_site_type_symbol
_atom_site_fract_x
_atom_site_fract_y
_atom_site_fract_z
Pr1 Pr 0.0000 0.0000 0.0000
Th1 Th 0.0000 0.0000 0.5000
Ga1 Ga 0.2500 0.2500 0.2500
Tc1 Tc 0.2500 0.2500 0.7500
```

The magnetic moment comes out at 0.00 μB/f.u. Its density is 9.31 g cm⁻³.

=====

Entry two
First-principles (PBE) data for PrThGaTc after structural relaxation, as listed in the Alexandria database.

```
data_PrThGaTc
_cell_length_a 3.9269
_cell_length_b 4.1642
_cell_length_c 12.2113
_cell_angle_alpha 90.00
_cell_angle_beta 90.00
_cell_angle_gamma 90.00
_space_group_name_H-M_alt 'A m m 2'
_space_group_IT_number 38
loop_
_space_group_symop_operation_xyz
'x,y,z'
'-x,-y,z'
'-x,y,z'
'x,-y,z'
'x,y+1/2,z+1/2'
'-x,-y+1/2,z+1/2'
'-x,y+1/2,z+1/2'
'x,-y+1/2,z+1/2'
loop_
_atom_site_label
_atom_site_type_symbol
_atom_site_fract_x
_atom_site_fract_y
_atom_site_fract_z
Pr1 Pr 0.0000 0.0000 0.0000
Th1 Th 0.5000 0.0000 0.7221
Ga1 Ga 0.5000 0.0000 0.4103
Tc1 Tc 0.0000 0.0000 0.2643
```

The magnetic moment comes out at 0.00 μB/f.u. Its density is 8.99 g cm⁻³.

=====

Ordering by calculated energy gives the sequence entry two, entry one, with the first entry being the most stable.

=====

Entry one
First-principles (PBE) data for Pr2GaTe after structural relaxation, as listed in the Alexandria database.

```
data_Pr2GaTe
_cell_length_a 4.5807
_cell_length_b 24.2526
_cell_length_c 4.3447
_cell_angle_alpha 90.00
_cell_angle_beta 90.00
_cell_angle_gamma 90.00
_space_group_name_H-M_alt 'C m c m'
_space_group_IT_number 63
_space_group_name_Hall '-C 2c 2'
loop_
_atom_site_label
_atom_site_type_symbol
_atom_site_fract_x
_atom_site_fract_y
_atom_site_fract_z
Pr1 Pr 0.0000 0.0620 0.2500
Pr2 Pr 0.0000 0.3292 0.2500
Ga1 Ga 0.0000 0.4631 0.2500
Te1 Te 0.0000 0.1935 0.2500
```

The magnetic moment comes out at 0.00 μB/f.u. Its density is 6.59 g cm⁻³.

=====

Entry two
First-principles (PBE) data for Pr2GaTe after structural relaxation, as listed in the Alexandria database.

```
data_Pr2GaTe
_cell_length_a 3.7761
_cell_length_b 3.7761
_cell_length_c 7.9628
_cell_angle_alpha 90.00
_cell_angle_beta 90.00
_cell_angle_gamma 90.00
_space_group_name_H-M_alt 'P 4/m m m'
_space_group_IT_number 123
_space_group_name_Hall '-P 4 2'
loop_
_atom_site_label
_atom_site_type_symbol
_atom_site_fract_x
_atom_site_fract_y
_atom_site_fract_z
Pr1 Pr 0.0000 0.0000 0.2446
Ga1 Ga 0.5000 0.5000 0.0000
Te1 Te 0.5000 0.5000 0.5000
```

The magnetic moment comes out at 0.00 μB/f.u. Its density is 7.01 g cm⁻³.

=====

Entry three
First-principles (PBE) data for Pr2GaTe after structural relaxation, as listed in the Alexandria database.

```
data_Pr2GaTe
_cell_length_a 4.2925
_cell_length_b 4.2925
_cell_length_c 23.4405
_cell_angle_alpha 90.00
_cell_angle_beta 90.00
_cell_angle_gamma 120.00
_space_group_name_H-M_alt 'R -3 m'
_space_group_IT_number 166
_space_group_name_Hall '-R 3 2"'
loop_
_atom_site_label
_atom_site_type_symbol
_atom_site_fract_x
_atom_site_fract_y
_atom_site_fract_z
Pr1 Pr 0.0000 0.0000 0.2467
Ga1 Ga 0.0000 0.0000 0.5000
Te1 Te 0.0000 0.0000 0.0000
```

The magnetic moment comes out at 0.00 μB/f.u. Its density is 6.38 g cm⁻³.

=====

Entry four
First-principles (PBE) data for Pr2GaTe after structural relaxation, as listed in the Alexandria database.

```
data_Pr2GaTe
_cell_length_a 4.1904
_cell_length_b 4.1904
_cell_length_c 25.0051
_cell_angle_alpha 90.00
_cell_angle_beta 90.00
_cell_angle_gamma 120.00
_space_group_name_H-M_alt 'R 3 m'
_space_group_IT_number 160
_space_group_name_Hall 'R 3 -2"'
loop_
_atom_site_label
_atom_site_type_symbol
_atom_site_fract_x
_atom_site_fract_y
_atom_site_fract_z
Pr1 Pr 0.0000 0.0000 0.0000
Pr2 Pr 0.0000 0.0000 0.1658
Ga1 Ga 0.0000 0.0000 0.4153
Te1 Te 0.0000 0.0000 0.5840
```

The magnetic moment comes out at 0.00 μB/f.u. Its density is 6.28 g cm⁻³.

=====

Ordering by calculated energy gives the sequence entry one, entry three, entry two, entry four, with the first entry being the most stable.